# 1
Compound: Li2Zn2Ga2IrPd
Source: OQMD via LeMat-Bulk
Functional: PBE-GGA
Structure: optimized geometry

POSCAR file:
```
Li2Zn2Ga2IrPd
1.0
4.3089 0.0000 0.0000
0.0000 4.3089 0.0000
0.0000 0.0000 6.0575
Zn Li Pd Ga Ir
2 2 1 2 1
Direct
0.5000 0.0000 0.7523
0.0000 0.5000 0.2477
0.5000 0.5000 0.0000
0.0000 0.0000 0.5000
0.5000 0.5000 0.5000
0.0000 0.5000 0.7569
0.5000 0.0000 0.2431
0.0000 0.0000 0.0000
```

Calculated values
* energy: -30.3 eV per cell
* V: 14.058 Å³ per atom

# 2
Compound: Tb2PrSi4Au4
Source: OQMD via LeMat-Bulk
Functional: PBE-GGA
Structure: optimized geometry

POSCAR file:
```
Tb2PrSi4Au4
1.0
-4.4545 -4.9961 11.0676
-5.8766 0.7987 11.4945
2.5416 1.5128 -12.5915
Pr Si Tb Au
1 4 2 4
Direct
0.0000 0.0000 0.0000
0.5475 0.5475 0.0000
0.8089 0.3089 0.5000
0.4525 0.4525 0.0000
0.1911 0.6911 0.5000
0.6481 0.1481 0.5000
0.3519 0.8519 0.5000
0.2516 0.2516 0.0000
0.9043 0.4043 0.5000
0.0957 0.5957 0.5000
0.7484 0.7484 0.0000
```

Calculated values
* energy: -56.7 eV per cell
* V: 20.466 Å³ per atom

# 3
Compound: YPdPb
Source: OQMD via LeMat-Bulk
Functional: PBE-GGA
Structure: optimized geometry

POSCAR file:
```
YPdPb
1.0
-4.5691 3.0944 -4.8767
-0.9175 -7.0414 1.9522
-2.6879 1.2723 3.3256
Pb Y Pd
3 3 3
Direct
0.3333 0.6667 0.0000
0.0000 0.0000 0.5000
0.6667 0.3333 0.0000
0.5712 0.0000 0.5000
0.0000 0.5712 0.5000
0.4288 0.4288 0.5000
0.2427 0.0000 0.0000
0.0000 0.2427 0.0000
0.7573 0.7573 0.0000
```

Calculated values
* energy: -51.6 eV per cell
* V: 23.282 Å³ per atom

> Which of these has the lowest V?

Li2Zn2Ga2IrPd

> The lowest V belongs to which entry?

Li2Zn2Ga2IrPd